VASP calculation (PBE) on an optimized crystal structure of BaMgAlCl2.

a b c (Å): 5.386 5.430 5.386
angles (deg): 90.00 90.00 90.00
Fractional positions:
Mg1 0.000 0.500 0.000
Al1 0.000 0.000 0.000
Cl1 0.500 0.000 0.000
Ba1 0.500 0.500 0.500
Cl2 0.000 0.000 0.500

Output
**V**: 157.50 Å³/f.u.
**Total moment**: 0.00 μB per cell
**Final energy**: -14.33 eV per cell
**Calculated density**: 2736 kg/m³